A | The following is a GGA-PBE calculation of crystalline ScCoPb2 at its relaxed geometry, from Alexandria via LeMat-Bulk.

Unit cell a=3.3384 b=4.7165 c=11.2444 alpha=90.00 beta=90.00 gamma=90.00
Space group Imm2 (No. 44)
Symmetry-distinct sites (fractional):
Sc1 0.0000 0.0000 0.0000
Co1 0.0000 0.5000 0.6809
Pb1 0.0000 0.0000 0.3988
Pb2 0.0000 0.5000 0.1880


B | The following is a GGA-PBE calculation of crystalline ScCoPb2 at its relaxed geometry, from Alexandria via LeMat-Bulk.

Unit cell a=3.2888 b=3.2888 c=8.5668 alpha=90.00 beta=90.00 gamma=90.00
Space group P4mm (No. 99)
Symmetry-distinct sites (fractional):
Sc1 0.0000 0.0000 0.0000
Co1 0.5000 0.5000 0.1491
Pb1 0.0000 0.0000 0.3642
Pb2 0.5000 0.5000 0.7238


C | The following is a GGA-PBE calculation of crystalline ScCoPb2 at its relaxed geometry, from Alexandria via LeMat-Bulk.

Unit cell a=3.3786 b=3.3786 c=28.5824 alpha=90.00 beta=90.00 gamma=120.00
Space group R3m (No. 160, hexagonal axes)
Symmetry-distinct sites (fractional):
Sc1 0.0000 0.0000 0.0000
Co1 0.0000 0.0000 0.2748
Pb1 0.0000 0.0000 0.5396
Pb2 0.0000 0.0000 0.7629


D | The following is a GGA-PBE calculation of crystalline ScCoPb2 at its relaxed geometry, from Alexandria via LeMat-Bulk.

Unit cell a=4.9266 b=4.9266 c=6.9463 alpha=90.00 beta=90.00 gamma=90.00
Space group I4/mmm (No. 139)
Symmetry-distinct sites (fractional):
Sc1 0.0000 0.0000 0.0000
Co1 0.0000 0.0000 0.5000
Pb1 0.0000 0.5000 0.2500


Going by the energies, B is most stable and the next is 110 meV per atom up.


A | The following is a GGA-PBE calculation of crystalline ScCoPb2 at its relaxed geometry, from Alexandria via LeMat-Bulk.

Unit cell a=4.7095 b=4.7177 c=7.4546 alpha=90.00 beta=90.00 gamma=90.00
Space group Cmmm (No. 65)
Symmetry-distinct sites (fractional):
Sc1 0.0000 0.0000 0.0000
Co1 0.0000 0.0000 0.5000
Pb1 0.0000 0.5000 0.2833


B | The following is a GGA-PBE calculation of crystalline ScCoPb2 at its relaxed geometry, from Alexandria via LeMat-Bulk.

Unit cell a=4.5551 b=4.5551 c=4.1429 alpha=90.00 beta=90.00 gamma=90.00
Space group P4/mmm (No. 123)
Symmetry-distinct sites (fractional):
Sc1 0.0000 0.0000 0.0000
Co1 0.5000 0.5000 0.0000
Pb1 0.0000 0.5000 0.5000


C | The following is a GGA-PBE calculation of crystalline ScCoPb2 at its relaxed geometry, from Alexandria via LeMat-Bulk.

Unit cell a=4.2122 b=4.2122 c=9.7226 alpha=90.00 beta=90.00 gamma=90.00
Space group I-4m2 (No. 119)
Symmetry-distinct sites (fractional):
Sc1 0.0000 0.0000 0.0000
Co1 0.0000 0.5000 0.7500
Pb1 0.0000 0.0000 0.5000
Pb2 0.0000 0.5000 0.2500


Going by the energies, B is most stable and the next is 5 meV per atom up.


A | The following is a GGA-PBE calculation of crystalline Sc2CoPb2 at its relaxed geometry, from Alexandria via LeMat-Bulk.

Unit cell a=3.9551 b=3.9551 c=15.3488 alpha=90.00 beta=90.00 gamma=90.00
Space group I4/mmm (No. 139)
Symmetry-distinct sites (fractional):
Sc1 0.0000 0.5000 0.2500
Co1 0.0000 0.0000 0.0000
Pb1 0.0000 0.0000 0.4069


B | The following is a GGA-PBE calculation of crystalline Sc2CoPb2 at its relaxed geometry, from Alexandria via LeMat-Bulk.

Unit cell a=7.0134 b=7.0134 c=4.4863 alpha=90.00 beta=90.00 gamma=90.00
Space group P4/mbm (No. 127)
Symmetry-distinct sites (fractional):
Sc1 0.1633 0.3367 0.0000
Co1 0.0000 0.0000 0.5000
Pb1 0.1521 0.6521 0.5000


C | The following is a GGA-PBE calculation of crystalline Sc2CoPb2 at its relaxed geometry, from Alexandria via LeMat-Bulk.

Unit cell a=6.7497 b=6.7497 c=5.0153 alpha=90.00 beta=90.00 gamma=90.00
Space group P4/mbm (No. 127)
Symmetry-distinct sites (fractional):
Sc1 0.1663 0.3337 0.0000
Co1 0.0000 0.0000 0.0000
Pb1 0.1662 0.6662 0.5000


Going by the energies, B is most stable and the next is 91 meV per atom up.


A | The following is a GGA-PBE calculation of crystalline Sc4CoPb at its relaxed geometry, from Alexandria via LeMat-Bulk.

Unit cell a=8.1191 b=8.1191 c=8.1191 alpha=90.00 beta=90.00 gamma=90.00
Space group F-43m (No. 216)
Symmetry-distinct sites (fractional):
Sc1 0.1242 0.1242 0.1242
Co1 0.2500 0.2500 0.7500
Pb1 0.0000 0.0000 0.5000


B | The following is a GGA-PBE calculation of crystalline Sc4CoPb at its relaxed geometry, from Alexandria via LeMat-Bulk.

Unit cell a=8.3426 b=12.4823 c=5.5377 alpha=90.00 beta=110.58 gamma=90.00
Space group C2/c (No. 15)
Symmetry-distinct sites (fractional):
Sc1 0.1094 0.1605 0.0590
Sc2 0.2240 0.4264 0.3604
Co1 0.0000 0.0003 0.2500
Pb1 0.0000 0.3697 0.7500


Going by the energies, B is most stable and the next is 756 meV per atom up.


A | The following is a GGA-PBE calculation of crystalline CoPbSe at its relaxed geometry, from Alexandria via LeMat-Bulk.

Unit cell a=6.2980 b=6.2980 c=6.2980 alpha=90.00 beta=90.00 gamma=90.00
Space group F-43m (No. 216)
Symmetry-distinct sites (fractional):
Co1 0.0000 0.0000 0.0000
Pb1 0.2500 0.2500 0.7500
Se1 0.2500 0.2500 0.2500


B | The following is a GGA-PBE calculation of crystalline CoPbSe at its relaxed geometry, from Alexandria via LeMat-Bulk.

Unit cell a=3.8245 b=3.8245 c=5.3395 alpha=90.00 beta=90.00 gamma=120.00
Space group P3m1 (No. 156)
Symmetry-distinct sites (fractional):
Co1 0.0000 0.0000 0.0000
Pb1 0.6667 0.3333 0.3564
Se1 0.3333 0.6667 0.9052


Going by the energies, B is most stable and the next is 222 meV per atom up.


A | The following is a GGA-PBE calculation of crystalline Co3PbSe at its relaxed geometry, from Alexandria via LeMat-Bulk.

Unit cell a=4.4389 b=4.4389 c=4.4389 alpha=90.00 beta=90.00 gamma=90.00
Space group Pm-3m (No. 221)
Symmetry-distinct sites (fractional):
Co1 0.0000 0.0000 0.5000
Pb1 0.5000 0.5000 0.5000
Se1 0.0000 0.0000 0.0000


B | The following is a GGA-PBE calculation of crystalline Co3PbSe at its relaxed geometry, from Alexandria via LeMat-Bulk.

Unit cell a=4.8252 b=4.8252 c=4.8252 alpha=90.00 beta=90.00 gamma=90.00
Space group Pm-3m (No. 221)
Symmetry-distinct sites (fractional):
Co1 0.0000 0.0000 0.5000
Pb1 0.0000 0.0000 0.0000
Se1 0.5000 0.5000 0.5000


Going by the energies, A is most stable and the next is 1092 meV per atom up.


A | The following is a GGA-PBE calculation of crystalline Sm3CoPb at its relaxed geometry, from Alexandria via LeMat-Bulk.

Unit cell a=5.2319 b=5.2319 c=5.2319 alpha=90.00 beta=90.00 gamma=90.00
Space group Pm-3m (No. 221)
Symmetry-distinct sites (fractional):
Sm1 0.0000 0.0000 0.5000
Co1 0.0000 0.0000 0.0000
Pb1 0.5000 0.5000 0.5000


B | The following is a GGA-PBE calculation of crystalline Sm3CoPb at its relaxed geometry, from Alexandria via LeMat-Bulk.

Unit cell a=21.3845 b=5.1650 c=5.4162 alpha=90.00 beta=104.42 gamma=90.00
Space group C2/m (No. 12)
Symmetry-distinct sites (fractional):
Sm1 0.0532 0.0000 0.3041
Sm2 0.1716 0.0000 0.9227
Sm3 0.1815 0.5000 0.4319
Co1 0.1820 0.0000 0.4333
Pb1 0.0666 0.5000 0.8217


Going by the energies, A is most stable and the next is 50 meV per atom up.


A | The following is a GGA-PBE calculation of crystalline Co2SnPb at its relaxed geometry, from Alexandria via LeMat-Bulk.

Unit cell a=6.4583 b=6.4583 c=6.4583 alpha=90.00 beta=90.00 gamma=90.00
Space group Fm-3m (No. 225)
Symmetry-distinct sites (fractional):
Co1 0.2500 0.2500 0.2500
Sn1 0.0000 0.0000 0.0000
Pb1 0.0000 0.0000 0.5000


B | The following is a GGA-PBE calculation of crystalline Co2SnPb at its relaxed geometry, from Alexandria via LeMat-Bulk.

Unit cell a=6.9692 b=6.9692 c=6.1474 alpha=90.00 beta=90.00 gamma=90.00
Space group I-42d (No. 122)
Symmetry-distinct sites (fractional):
Co1 0.2335 0.2500 0.1250
Sn1 0.0000 0.0000 0.0000
Pb1 0.0000 0.0000 0.5000


Going by the energies, A is most stable and the next is 270 meV per atom up.


A | The following is a GGA-PBE calculation of crystalline CoSn2Pb2 at its relaxed geometry, from Alexandria via LeMat-Bulk.

Unit cell a=6.8192 b=6.8192 c=5.4975 alpha=90.00 beta=90.00 gamma=90.00
Space group P4/mbm (No. 127)
Symmetry-distinct sites (fractional):
Co1 0.0000 0.0000 0.0000
Sn1 0.1578 0.3422 0.0000
Pb1 0.1730 0.6730 0.5000


B | The following is a GGA-PBE calculation of crystalline CoSn2Pb2 at its relaxed geometry, from Alexandria via LeMat-Bulk.

Unit cell a=4.2629 b=4.2629 c=16.1844 alpha=90.00 beta=90.00 gamma=90.00
Space group I4/mmm (No. 139)
Symmetry-distinct sites (fractional):
Co1 0.0000 0.0000 0.0000
Sn1 0.0000 0.0000 0.4126
Pb1 0.0000 0.5000 0.2500


Going by the energies, A is most stable and the next is 535 meV per atom up.


A | The following is a GGA-PBE calculation of crystalline SrCo3Pb at its relaxed geometry, from Alexandria via LeMat-Bulk.

Unit cell a=4.8489 b=4.8489 c=4.8489 alpha=90.00 beta=90.00 gamma=90.00
Space group Pm-3m (No. 221)
Symmetry-distinct sites (fractional):
Sr1 0.0000 0.0000 0.0000
Co1 0.0000 0.0000 0.5000
Pb1 0.5000 0.5000 0.5000


B | The following is a GGA-PBE calculation of crystalline SrCo3Pb at its relaxed geometry, from Alexandria via LeMat-Bulk.

Unit cell a=4.9425 b=4.9425 c=4.9425 alpha=90.00 beta=90.00 gamma=90.00
Space group Pm-3m (No. 221)
Symmetry-distinct sites (fractional):
Sr1 0.0000 0.0000 0.0000
Co1 0.0000 0.5000 0.5000
Pb1 0.5000 0.5000 0.5000


Going by the energies, B is most stable and the next is 903 meV per atom up.


A | The following is a GGA-PBE calculation of crystalline TaCoPb2 at its relaxed geometry, from Alexandria via LeMat-Bulk.

Unit cell a=6.3137 b=9.0650 c=3.1319 alpha=90.00 beta=112.13 gamma=90.00
Space group C2/m (No. 12)
Symmetry-distinct sites (fractional):
Ta1 0.0000 0.0000 0.0000
Co1 0.0000 0.5000 0.0000
Pb1 0.2500 0.2500 0.5000


B | The following is a GGA-PBE calculation of crystalline TaCoPb2 at its relaxed geometry, from Alexandria via LeMat-Bulk.

Unit cell a=4.2589 b=4.2589 c=19.5748 alpha=90.00 beta=90.00 gamma=90.00
Space group I-42d (No. 122)
Symmetry-distinct sites (fractional):
Ta1 0.0000 0.0000 0.0000
Co1 0.0000 0.0000 0.5000
Pb1 0.2434 0.2500 0.6250


Going by the energies, A is most stable and the next is 212 meV per atom up.